Crystalline NaPaS at its relaxed geometry, computed with PBE.

Its mass density is 6.48 g/cm³. The formation energy (no corrections) comes out at -0.364 eV per atom. For the total moment, the calculation gives 0.04 μB/f.u.

It has space group Amm2 (No. 38), with a = 14.676 Å, b = 3.397 Å, c = 5.884 Å, α = 90.00°, β = 90.00° and γ = 90.00°. The distinct sites, in fractional coordinates, are Na at (0.127, 0.000, 0.000), Pa at (0.366, 0.000, 0.332), S at (0.000, 0.000, 0.333) and S at (0.500, 0.000, 0.998).